Computed, not measured: crystalline BaPmGd at its relaxed geometry at the PBE level of DFT.

The calculation puts the calculated formation energy at 0.156 eV/atom. For the relative energy among the computed polymorphs, the calculation gives 19 meV per atom. Its total energy is -20.29 eV/cell.

The space group is P3m1 (No. 156) and the conventional cell measures 3.8159, 3.8159 and 9.4649 Å, with angles of 90.00, 90.00 and 120.00 degrees. The inequivalent atoms are Ba at (0.0000, 0.0000, 0.0000), Pm at (0.3333, 0.6667, 0.6444) and Gd at (0.6667, 0.3333, 0.3532).